1.
{
  "formula": "ScTlFeHg2",
  "functional": "meta-GGA SCAN",
  "state": "single point on PBEsol structure",
  "sg": "P4/mmm",
  "e_tot_ev_per_atom": -47.56,
  "dos_ef_per_ev_cell": 3.49,
  "ef_ev_per_fu": 3.28,
  "lattice_angstrom": [[5.463, 0.000, 0.000], [0.000, 5.463, 0.000], [0.000, 0.000, 4.430]],
  "species": ["Sc", "Tl", "Fe", "Hg", "Hg"],
  "frac_coords": [[0.000, 0.000, 0.000], [0.500, 0.500, 0.500], [0.000, 0.000, 0.500], [0.000, 0.500, 0.000], [0.500, 0.000, 0.000]]
}


2.
{
  "formula": "FeHg2Se",
  "functional": "meta-GGA SCAN",
  "state": "single point on PBEsol structure",
  "sg": "F-43m",
  "e_tot_ev_per_atom": -43.16,
  "formation_energy_uncorrected_ev_per_atom": 0.47,
  "dos_ef_per_ev_cell": 3.34,
  "lattice_angstrom": [[0.000, 3.379, 3.379], [3.379, 0.000, 3.379], [3.379, 3.379, 0.000]],
  "species": ["Fe", "Hg", "Hg", "Se"],
  "frac_coords": [[0.000, 0.000, 0.000], [0.250, 0.250, 0.250], [0.500, 0.500, 0.500], [0.750, 0.750, 0.750]]
}


3.
{
  "formula": "FeHg4Se",
  "functional": "meta-GGA SCAN",
  "state": "single point on PBEsol structure",
  "sg": "F-43m",
  "e_tot_ev_per_atom": -51.18,
  "formation_energy_uncorrected_ev_per_atom": 0.63,
  "dos_ef_per_ev_cell": 5.70,
  "lattice_angstrom": [[0.000, 4.045, 4.045], [4.045, 0.000, 4.045], [4.045, 4.045, 0.000]],
  "species": ["Fe", "Hg", "Hg", "Hg", "Hg", "Se"],
  "frac_coords": [[0.000, 0.000, 0.000], [0.375, 0.375, 0.375], [0.375, 0.375, 0.876], [0.375, 0.876, 0.375], [0.876, 0.375, 0.375], [0.750, 0.750, 0.750]]
}


4.
{
  "formula": "FeHg2Se",
  "functional": "meta-GGA SCAN",
  "state": "single point on PBEsol structure",
  "sg": "R-3m",
  "e_tot_ev_per_atom": -43.24,
  "formation_energy_uncorrected_ev_per_atom": 0.39,
  "dos_ef_per_ev_cell": 2.73,
  "lattice_angstrom": [[1.592, 0.919, 8.771], [-1.592, 0.919, 8.771], [0.000, -1.839, 8.771]],
  "species": ["Fe", "Hg", "Hg", "Se"],
  "frac_coords": [[0.000, 0.000, 0.000], [0.257, 0.257, 0.257], [0.743, 0.743, 0.743], [0.500, 0.500, 0.500]]
}


5.
{
  "formula": "FeHgSe2",
  "functional": "meta-GGA SCAN",
  "state": "single point on PBEsol structure",
  "sg": "R-3m",
  "e_tot_ev_per_atom": -31.77,
  "formation_energy_uncorrected_ev_per_atom": -0.16,
  "dos_ef_per_ev_cell": 1.77,
  "lattice_angstrom": [[1.639, 0.946, 9.216], [-1.639, 0.946, 9.216], [0.000, -1.892, 9.216]],
  "species": ["Fe", "Hg", "Se", "Se"],
  "frac_coords": [[0.000, 0.000, 0.000], [0.500, 0.500, 0.500], [0.385, 0.385, 0.385], [0.615, 0.615, 0.615]]
}


6.
{
  "formula": "FeHg2Se",
  "functional": "meta-GGA SCAN",
  "state": "single point on PBEsol structure",
  "sg": "Amm2",
  "e_tot_ev_per_atom": -43.52,
  "formation_energy_uncorrected_ev_per_atom": 0.11,
  "dos_ef_per_ev_cell": 2.01,
  "lattice_angstrom": [[3.012, 0.000, 0.000], [0.000, 2.184, 6.194], [0.000, -2.184, 6.194]],
  "species": ["Fe", "Hg", "Hg", "Se"],
  "frac_coords": [[0.000, 0.000, 0.000], [0.000, 0.786, 0.786], [0.500, 0.451, 0.451], [0.500, 0.140, 0.140]]
}


7.
{
  "formula": "FeHg2Se",
  "functional": "meta-GGA SCAN",
  "state": "single point on PBEsol structure",
  "sg": "I-4m2",
  "e_tot_ev_per_atom": -43.19,
  "formation_energy_uncorrected_ev_per_atom": 0.44,
  "dos_ef_per_ev_cell": 2.98,
  "lattice_angstrom": [[-2.099, 2.099, 4.277], [2.099, -2.099, 4.277], [2.099, 2.099, -4.277]],
  "species": ["Fe", "Hg", "Hg", "Se"],
  "frac_coords": [[0.000, 0.000, 0.000], [0.500, 0.500, 0.000], [0.750, 0.250, 0.500], [0.250, 0.750, 0.500]]
}


8.
{
  "formula": "FeSi2Hg",
  "functional": "meta-GGA SCAN",
  "state": "single point on PBEsol structure",
  "sg": "Fmmm",
  "e_tot_ev_per_atom": -26.04,
  "formation_energy_uncorrected_ev_per_atom": 0.54,
  "dos_ef_per_ev_cell": 1.67,
  "lattice_angstrom": [[0.000, 2.714, 4.408], [2.679, 0.000, 4.408], [2.679, 2.714, 0.000]],
  "species": ["Fe", "Si", "Si", "Hg"],
  "frac_coords": [[0.000, 0.000, 0.000], [0.000, 0.500, 0.000], [0.500, 0.000, 0.500], [0.500, 0.500, 0.500]]
}


9.
{
  "formula": "FeSiHg",
  "functional": "meta-GGA SCAN",
  "state": "single point on PBEsol structure",
  "sg": "F-43m",
  "e_tot_ev_per_atom": -31.68,
  "formation_energy_uncorrected_ev_per_atom": 0.43,
  "dos_ef_per_ev_cell": 2.36,
  "lattice_angstrom": [[0.000, 2.907, 2.907], [2.907, 0.000, 2.907], [2.907, 2.907, 0.000]],
  "species": ["Fe", "Si", "Hg"],
  "frac_coords": [[0.000, 0.000, 0.000], [0.750, 0.750, 0.750], [0.500, 0.500, 0.500]]
}


10.
{
  "formula": "FeSiHg4",
  "functional": "meta-GGA SCAN",
  "state": "single point on PBEsol structure",
  "sg": "F-43m",
  "e_tot_ev_per_atom": -49.30,
  "formation_energy_uncorrected_ev_per_atom": 0.84,
  "dos_ef_per_ev_cell": 3.01,
  "lattice_angstrom": [[0.000, 3.985, 3.985], [3.985, 0.000, 3.985], [3.985, 3.985, 0.000]],
  "species": ["Fe", "Si", "Hg", "Hg", "Hg", "Hg"],
  "frac_coords": [[0.000, 0.000, 0.000], [0.750, 0.750, 0.750], [0.375, 0.375, 0.375], [0.375, 0.375, 0.876], [0.375, 0.876, 0.375], [0.876, 0.375, 0.375]]
}


11.
{
  "formula": "FeSiHg3",
  "functional": "meta-GGA SCAN",
  "state": "single point on PBEsol structure",
  "sg": "Pm-3m",
  "e_tot_ev_per_atom": -45.67,
  "formation_energy_uncorrected_ev_per_atom": 0.86,
  "dos_ef_per_ev_cell": 6.75,
  "lattice_angstrom": [[4.959, 0.000, 0.000], [0.000, 4.959, 0.000], [0.000, 0.000, 4.959]],
  "species": ["Fe", "Si", "Hg", "Hg", "Hg"],
  "frac_coords": [[0.000, 0.000, 0.000], [0.500, 0.500, 0.500], [0.000, 0.500, 0.500], [0.500, 0.000, 0.500], [0.500, 0.500, 0.000]]
}


12.
{
  "formula": "FeSi2Hg",
  "functional": "meta-GGA SCAN",
  "state": "single point on PBEsol structure",
  "sg": "Pmmm",
  "e_tot_ev_per_atom": -26.44,
  "formation_energy_uncorrected_ev_per_atom": 0.14,
  "dos_ef_per_ev_cell": 1.43,
  "lattice_angstrom": [[2.734, 0.000, 0.000], [0.000, 2.774, 0.000], [0.000, 0.000, 7.839]],
  "species": ["Fe", "Si", "Si", "Hg"],
  "frac_coords": [[0.000, 0.000, 0.000], [0.500, 0.500, 0.176], [0.500, 0.500, 0.824], [0.500, 0.000, 0.500]]
}


13.
{
  "formula": "FeSnHg3",
  "functional": "meta-GGA SCAN",
  "state": "single point on PBEsol structure",
  "sg": "Pm-3m",
  "e_tot_ev_per_atom": -51.29,
  "dos_ef_per_ev_cell": 1.88,
  "ef_ev_per_fu": 2.08,
  "lattice_angstrom": [[4.961, 0.000, 0.000], [0.000, 4.961, 0.000], [0.000, 0.000, 4.961]],
  "species": ["Fe", "Sn", "Hg", "Hg", "Hg"],
  "frac_coords": [[0.000, 0.000, 0.000], [0.500, 0.500, 0.500], [0.000, 0.000, 0.500], [0.000, 0.500, 0.000], [0.500, 0.000, 0.000]]
}


14.
{
  "formula": "Sr2FeHg",
  "functional": "meta-GGA SCAN",
  "state": "single point on PBEsol structure",
  "sg": "R3m",
  "e_tot_ev_per_atom": -32.76,
  "dos_ef_per_ev_cell": 3.69,
  "ef_ev_per_fu": -0.20,
  "lattice_angstrom": [[2.239, 1.293, 7.758], [-2.239, 1.293, 7.758], [0.000, -2.586, 7.758]],
  "species": ["Sr", "Sr", "Fe", "Hg"],
  "frac_coords": [[0.000, 0.000, 0.000], [0.177, 0.177, 0.177], [0.756, 0.756, 0.756], [0.422, 0.422, 0.422]]
}


15.
{
  "formula": "Sr2FeHg",
  "functional": "meta-GGA SCAN",
  "state": "single point on PBEsol structure",
  "sg": "F-43m",
  "e_tot_ev_per_atom": -32.51,
  "dos_ef_per_ev_cell": 5.22,
  "ef_ev_per_fu": 0.82,
  "lattice_angstrom": [[0.000, 3.688, 3.688], [3.688, 0.000, 3.688], [3.688, 3.688, 0.000]],
  "species": ["Sr", "Sr", "Fe", "Hg"],
  "frac_coords": [[0.000, 0.000, 0.000], [0.250, 0.250, 0.250], [0.750, 0.750, 0.750], [0.500, 0.500, 0.500]]
}